Density functional theory data (PBE-GGA) for a relaxed LaTmCd3 crystal.

Results
As for the magnetic moment: 0.290 μB/cell. For the total energy, the calculation gives -2.748 eV/atom. As for the density: 8.1 Mg/m³. The formation energy from the elements comes out at -30.8 kJ/mol of atoms.

abc: 15.018 15.018 5.049
angles: 90.00 90.00 166.55
Element x y z (fractional)
La 0.076 0.924 0.750
La 0.924 0.076 0.250
Tm 0.215 0.785 0.250
Tm 0.785 0.215 0.750
Cd 0.320 0.680 0.250
Cd 0.375 0.625 0.750
Cd 0.475 0.525 0.750
Cd 0.525 0.475 0.250
Cd 0.625 0.375 0.250
Cd 0.680 0.320 0.750

=====

Density functional theory data (PBE-GGA) for a relaxed La8Tm2Cd crystal.

Results
As for the magnetic moment: 0.000 μB/cell. For the total energy, the calculation gives -4.507 eV/atom. As for the density: 6.9 Mg/m³. The formation energy from the elements comes out at -2.6 kJ/mol of atoms.

abc: 9.625 9.625 8.172
angles: 104.73 104.73 30.84
Element x y z (fractional)
La 0.046 0.046 0.228
La 0.138 0.138 0.681
La 0.323 0.323 0.590
La 0.407 0.407 0.048
La 0.593 0.593 0.952
La 0.677 0.677 0.410
La 0.862 0.862 0.319
La 0.954 0.954 0.772
Tm 0.227 0.227 0.134
Tm 0.773 0.773 0.866
Cd 0.500 0.500 0.500

=====

Density functional theory data (PBE-GGA) for a relaxed La5Tm2Cd crystal.

Results
As for the magnetic moment: 0.000 μB/cell. For the total energy, the calculation gives -4.339 eV/atom. As for the density: 7.2 Mg/m³. The formation energy from the elements comes out at -2.6 kJ/mol of atoms.

abc: 9.274 10.685 7.030
angles: 90.00 130.41 90.00
Element x y z (fractional)
La 0.000 0.000 0.000
La 0.002 0.500 0.475
La 0.228 0.264 0.000
La 0.228 0.736 0.000
La 0.429 0.500 0.450
La 0.500 0.500 0.000
La 0.502 0.000 0.475
La 0.728 0.236 0.000
La 0.728 0.764 0.000
La 0.929 0.000 0.450
Tm 0.231 0.224 0.498
Tm 0.231 0.776 0.498
Tm 0.731 0.276 0.498
Tm 0.731 0.724 0.498
Cd 0.432 0.000 0.931
Cd 0.932 0.500 0.931

=====

Density functional theory data (PBE-GGA) for a relaxed La4TmCd crystal.

Results
As for the magnetic moment: 0.002 μB/cell. For the total energy, the calculation gives -3.724 eV/atom. As for the density: 5.7 Mg/m³. The formation energy from the elements comes out at 44.2 kJ/mol of atoms.

abc: 9.179 9.352 5.701
angles: 90.00 90.00 90.00
Element x y z (fractional)
La 0.000 0.172 0.000
La 0.000 0.828 0.000
La 0.169 0.500 0.500
La 0.331 0.000 0.500
La 0.500 0.328 0.000
La 0.500 0.672 0.000
La 0.669 0.000 0.500
La 0.831 0.500 0.500
Tm 0.000 0.500 0.000
Tm 0.500 0.000 0.000
Cd 0.000 0.000 0.500
Cd 0.500 0.500 0.500

=====

Density functional theory data (PBE-GGA) for a relaxed La2TmCd6 crystal.

Results
As for the magnetic moment: 0.356 μB/cell. For the total energy, the calculation gives -2.537 eV/atom. As for the density: 8.0 Mg/m³. The formation energy from the elements comes out at -32.4 kJ/mol of atoms.

abc: 8.827 8.827 3.459
angles: 90.00 90.00 120.00
Element x y z (fractional)
La 0.333 0.667 0.000
La 0.667 0.333 0.000
Tm 0.000 0.000 0.000
Cd 0.000 0.327 0.500
Cd 0.000 0.673 0.500
Cd 0.327 0.000 0.500
Cd 0.327 0.327 0.500
Cd 0.673 0.000 0.500
Cd 0.673 0.673 0.500

=====

Density functional theory data (PBE-GGA) for a relaxed La3TmCd crystal.

Results
As for the magnetic moment: 0.000 μB/cell. For the total energy, the calculation gives -4.042 eV/atom. As for the density: 6.7 Mg/m³. The formation energy from the elements comes out at -0.8 kJ/mol of atoms.

abc: 3.864 10.835 8.307
angles: 90.00 90.02 90.00
Element x y z (fractional)
La 0.249 0.003 0.254
La 0.249 0.497 0.254
La 0.250 0.750 0.950
La 0.750 0.250 0.050
La 0.751 0.503 0.746
La 0.751 0.997 0.746
Tm 0.251 0.750 0.558
Tm 0.749 0.250 0.442
Cd 0.250 0.250 0.726
Cd 0.750 0.750 0.274

=====

Density functional theory data (PBE-GGA) for a relaxed La3TmCd crystal.

Results
As for the magnetic moment: 0.000 μB/cell. For the total energy, the calculation gives -4.110 eV/atom. As for the density: 7.1 Mg/m³. The formation energy from the elements comes out at -7.4 kJ/mol of atoms.

abc: 6.626 6.626 13.706
angles: 90.30 90.30 32.94
Element x y z (fractional)
La 0.025 0.025 0.328
La 0.241 0.241 0.741
La 0.458 0.458 0.116
La 0.542 0.542 0.884
La 0.759 0.759 0.259
La 0.975 0.975 0.672
Tm 0.359 0.359 0.476
Tm 0.641 0.641 0.524
Cd 0.177 0.177 0.060
Cd 0.823 0.823 0.940

=====

Density functional theory data (PBE-GGA) for a relaxed LaTm5Cd2 crystal.

Results
As for the magnetic moment: 0.035 μB/cell. For the total energy, the calculation gives -3.724 eV/atom. As for the density: 8.6 Mg/m³. The formation energy from the elements comes out at -8.2 kJ/mol of atoms.

abc: 3.592 10.288 12.665
angles: 90.00 90.00 90.00
Element x y z (fractional)
La 0.000 0.000 0.000
La 0.500 0.500 0.500
Tm 0.000 0.225 0.365
Tm 0.000 0.225 0.635
Tm 0.000 0.500 0.000
Tm 0.000 0.775 0.365
Tm 0.000 0.775 0.635
Tm 0.500 0.000 0.500
Tm 0.500 0.275 0.135
Tm 0.500 0.275 0.865
Tm 0.500 0.725 0.135
Tm 0.500 0.725 0.865
Cd 0.000 0.500 0.255
Cd 0.000 0.500 0.745
Cd 0.500 0.000 0.245
Cd 0.500 0.000 0.755

=====

Density functional theory data (PBE-GGA) for a relaxed LaTm2Cd3 crystal.

Results
As for the magnetic moment: 0.564 μB/cell. For the total energy, the calculation gives -3.081 eV/atom. As for the density: 8.4 Mg/m³. The formation energy from the elements comes out at -30.0 kJ/mol of atoms.

abc: 3.731 3.731 11.592
angles: 90.00 90.00 90.00
Element x y z (fractional)
La 0.000 0.000 0.000
Tm 0.000 0.000 0.342
Tm 0.000 0.000 0.658
Cd 0.500 0.500 0.189
Cd 0.500 0.500 0.500
Cd 0.500 0.500 0.811

=====

Density functional theory data (PBE-GGA) for a relaxed La2Tm7Cd2 crystal.

Results
As for the magnetic moment: 0.001 μB/cell. For the total energy, the calculation gives -3.864 eV/atom. As for the density: 8.3 Mg/m³. The formation energy from the elements comes out at 4.2 kJ/mol of atoms.

abc: 6.583 6.583 8.037
angles: 100.62 100.62 90.89
Element x y z (fractional)
La 0.182 0.818 0.000
La 0.818 0.182 0.000
Tm 0.000 0.000 0.500
Tm 0.124 0.520 0.334
Tm 0.303 0.303 0.965
Tm 0.480 0.876 0.666
Tm 0.520 0.124 0.334
Tm 0.697 0.697 0.035
Tm 0.876 0.480 0.666
Cd 0.399 0.399 0.651
Cd 0.601 0.601 0.349